Record 1
Pa2Al7: relaxed, PBE.

Values from the calculation:
crystal system = trigonal
formation energy = -175.3 meV per atom

```
Pa2Al7
1.0
2.7357 1.5795 13.1214
-2.7357 1.5795 13.1214
0.0000 -3.1589 13.1214
Pa Al
4 14
direct
0.0521 0.0521 0.0521
0.1521 0.1521 0.1521
0.8479 0.8479 0.8479
0.9479 0.9479 0.9479
0.0000 0.5000 0.5000
0.1058 0.6129 0.6129
0.2786 0.2786 0.2786
0.3871 0.3871 0.8942
0.3871 0.8942 0.3871
0.3888 0.3888 0.3888
0.5000 0.0000 0.5000
0.5000 0.5000 0.0000
0.5000 0.5000 0.5000
0.6112 0.6112 0.6112
0.6129 0.1058 0.6129
0.6129 0.6129 0.1058
0.7214 0.7214 0.7214
0.8942 0.3871 0.3871
```

***

Record 2
Er4NiAu: relaxed, PBE.

Values from the calculation:
crystal system = monoclinic
formation energy = -348.6 meV per atom

```
Er4NiAu
1.0
6.8358 0.0000 0.0000
0.0000 6.9006 0.0000
-0.5027 0.0000 6.7866
Er Ni Au
8 2 2
direct
0.1540 0.1647 0.1845
0.1540 0.3353 0.6845
0.3249 0.6545 0.1316
0.3249 0.8455 0.6316
0.6751 0.1545 0.3684
0.6751 0.3455 0.8684
0.8460 0.6647 0.3155
0.8460 0.8353 0.8155
0.0000 0.0000 0.5000
0.0000 0.5000 0.0000
0.5000 0.0000 0.0000
0.5000 0.5000 0.5000
```

***

Record 3
CsHg3As: relaxed, PBE.

Values from the calculation:
crystal system = cubic
polymorph energy (0 for the lowest one) = 0.096 eV/atom
formation energy = -83.0 meV per atom

```
CsHg3As
1.0
5.6278 0.0000 0.0000
0.0000 5.6278 0.0000
0.0000 0.0000 5.6278
Cs Hg As
1 3 1
direct
0.0000 0.0000 0.0000
0.0000 0.5000 0.5000
0.5000 0.0000 0.5000
0.5000 0.5000 0.0000
0.5000 0.5000 0.5000
```

***

Record 4
HoPt2: relaxed, PBE.

Values from the calculation:
crystal system = tetragonal
formation energy = -908.6 meV per atom

```
HoPt2
1.0
-1.7868 1.7868 4.5187
1.7868 -1.7868 4.5187
1.7868 1.7868 -4.5187
Ho Pt
1 2
direct
0.0000 0.0000 0.0000
0.3343 0.3343 0.0000
0.6657 0.6657 0.0000
```

***

Record 5
V2Ni8B: relaxed, PBE.

Values from the calculation:
crystal system = orthorhombic
formation energy = -203.7 meV per atom

```
V2Ni8B
1.0
-2.0303 2.5026 5.8739
2.0303 -2.5026 5.8739
2.0303 2.5026 -5.8739
V Ni B
2 8 1
direct
0.1900 0.1900 0.0000
0.8100 0.8100 0.0000
0.1192 0.3748 0.7444
0.2525 0.0000 0.2525
0.3112 0.8112 0.5000
0.3697 0.6252 0.7444
0.6303 0.3748 0.2556
0.6888 0.1888 0.5000
0.7475 0.0000 0.7475
0.8808 0.6252 0.2556
0.5000 0.5000 0.0000
```

***

Record 6
TaMo2Pb2: relaxed, PBE.

Values from the calculation:
crystal system = tetragonal
polymorph energy (0 for the lowest one) = 0.105 eV/atom
formation energy = 1004.7 meV per atom

```
TaMo2Pb2
1.0
-1.8030 1.8030 8.3813
1.8030 -1.8030 8.3813
1.8030 1.8030 -8.3813
Ta Mo Pb
1 2 2
direct
0.0000 0.0000 0.0000
0.2500 0.7500 0.5000
0.7500 0.2500 0.5000
0.3956 0.3956 0.0000
0.6044 0.6044 0.0000
```

***

Record 7
Al2ZnCu2: relaxed, PBE.

Values from the calculation:
crystal system = tetragonal
polymorph energy (0 for the lowest one) = 0.122 eV/atom
formation energy = -32.7 meV per atom

```
Al2ZnCu2
1.0
6.5155 0.0000 0.0000
0.0000 6.5155 0.0000
0.0000 0.0000 3.4183
Al Zn Cu
4 2 4
direct
0.1606 0.3394 0.0000
0.3394 0.8394 0.0000
0.6606 0.1606 0.0000
0.8394 0.6606 0.0000
0.0000 0.0000 0.5000
0.5000 0.5000 0.5000
0.1373 0.6373 0.5000
0.3627 0.1373 0.5000
0.6373 0.8627 0.5000
0.8627 0.3627 0.5000
```

***

Record 8
NaSr2ScPd: relaxed, PBE.

Values from the calculation:
crystal system = tetragonal
formation energy = -145.4 meV per atom

```
NaSr2ScPd
1.0
6.0860 0.0000 0.0000
0.0000 6.0860 0.0000
0.0000 0.0000 5.1425
Na Sr Sc Pd
1 2 1 1
direct
0.0000 0.0000 0.0000
0.0000 0.5000 0.5000
0.5000 0.0000 0.5000
0.5000 0.5000 0.0000
0.5000 0.5000 0.5000
```

***

Record 9
LaSbSe2: relaxed, PBE.

Values from the calculation:
crystal system = tetragonal
uncorrected formation energy = -0.772 eV per atom
polymorph energy (0 for the lowest one) = 0.355 eV/atom

```
LaSbSe2
1.0
-2.6682 2.6682 9.0640
2.6682 -2.6682 9.0640
2.6682 2.6682 -9.0640
La Sb Se
2 2 4
direct
0.0000 0.0000 0.0000
0.7500 0.2500 0.5000
0.2500 0.7500 0.5000
0.5000 0.5000 0.0000
0.1358 0.6250 0.0108
0.3750 0.3858 0.5108
0.6142 0.1250 0.9892
0.8750 0.8642 0.4892
```

***

Record 10
CeDyInTc: relaxed, PBE.

Values from the calculation:
crystal system = cubic
formation energy = -101.1 meV per atom

```
CeDyInTc
1.0
0.0000 3.6160 3.6160
3.6160 0.0000 3.6160
3.6160 3.6160 0.0000
Ce Dy In Tc
1 1 1 1
direct
0.0000 0.0000 0.0000
0.5000 0.5000 0.5000
0.2500 0.2500 0.2500
0.7500 0.7500 0.7500
```

***

Record 11
NaNpTl2S4: relaxed, PBE.

Values from the calculation:
crystal system = monoclinic
uncorrected formation energy = -0.879 eV per atom

```
NaNpTl2S4
1.0
7.0199 0.0000 0.0000
0.0000 4.0633 0.0000
-2.2773 0.0000 7.3615
Na Np Tl S
1 1 2 4
direct
0.0000 0.0000 0.0000
0.5000 0.5000 0.0000
0.0000 0.5000 0.5000
0.5000 0.0000 0.5000
0.2731 0.5000 0.2009
0.2903 0.0000 0.8035
0.7097 0.0000 0.1965
0.7269 0.5000 0.7991
```

***

Record 12
SrCu2PdO4: relaxed, PBE.

Values from the calculation:
crystal system = tetragonal
uncorrected formation energy = -0.921 eV per atom

```
SrCu2PdO4
1.0
-2.7031 2.7031 3.5269
2.7031 -2.7031 3.5269
2.7031 2.7031 -3.5269
Sr Cu Pd O
1 2 1 4
direct
0.0000 0.0000 0.0000
0.2500 0.7500 0.5000
0.7500 0.2500 0.5000
0.5000 0.5000 0.0000
0.0809 0.4936 0.0000
0.4936 0.0809 0.0000
0.5064 0.5064 0.5873
0.9191 0.9191 0.4127
```